This record from the Open Quantum Materials Database describes Gd2Bi after structural relaxation. The functional is PBE-GGA.

Cell: 9.7735 9.7735 9.7735 Å, 60.00 60.00 60.00°
Last column: nearest neighbours and their distance in Å.
Element x y z (fractional)
Gd1 0.0000 0.0000 0.0000  2 Bi 2.99
Gd2 0.0000 0.0000 0.5000  2 Bi 2.99
Gd3 0.0000 0.5000 0.0000  2 Bi 2.99
Gd4 0.5000 0.0000 0.0000  2 Bi 2.99
Bi1 0.1250 0.1250 0.1250  4 Gd 2.99
Bi2 0.8750 0.8750 0.8750  4 Gd 2.99

Results
E_tot	-3.266	eV/atom
SG	Fd-3m (227)
M_tot	0.671	μB per atom
density	2.6	g cm⁻³